[1]
UOsRh2 | PBE-GGA | relaxed

The structure belongs to space group P4/mmm (No. 123); the cell edges are 3.9773, 3.9773 and 4.1123 Å and the angles 90.00°, 90.00° and 90.00°. The inequivalent atoms are U at (0.0000, 0.0000, 0.0000), Os at (0.5000, 0.5000, 0.0000) and Rh at (0.0000, 0.5000, 0.5000).

As for the total energy: -9.7857 eV/atom.



[2]
ZrUOsRh | PBE-GGA | relaxed

The structure belongs to space group F-43m (No. 216); the cell edges are 6.7010, 6.7010 and 6.7010 Å and the angles 90.00°, 90.00° and 90.00°. The inequivalent atoms are Zr at (0.0000, 0.0000, 0.0000), U at (0.0000, 0.0000, 0.5000), Os at (0.2500, 0.2500, 0.7500) and Rh at (0.2500, 0.2500, 0.2500).

As for the total energy: -9.9459 eV/atom.



[3]
V6OsRh5 | PBE-GGA | relaxed

The structure belongs to space group P2/m (No. 10); the cell edges are 4.4957, 5.6197 and 6.5971 Å and the angles 90.00°, 96.66° and 90.00°. The inequivalent atoms are V at (0.0000, 0.2473, 0.0000), V at (0.2788, 0.2475, 0.6919), Os at (0.5000, 0.0000, 0.0000), Rh at (0.2195, 0.5000, 0.3543), Rh at (0.2202, 0.0000, 0.3580) and Rh at (0.5000, 0.5000, 0.0000).

As for the total energy: -8.9110 eV/atom.



[4]
V5Os2Rh12 | PBE-GGA | relaxed

The structure belongs to space group C2/m (No. 12); the cell edges are 14.2019, 5.3737 and 7.8828 Å and the angles 90.00°, 103.06° and 90.00°. The inequivalent atoms are V at (0.0000, 0.0000, 0.0000), V at (0.1258, 0.5000, 0.3857), V at (0.2146, 0.5000, 0.8974), Os at (0.0000, 0.2439, 0.5000), Rh at (0.0286, 0.5000, 0.8252), Rh at (0.0852, 0.0000, 0.7837), Rh at (0.1426, 0.2568, 0.1113) and Rh at (0.2002, 0.2423, 0.6264).

As for the total energy: -8.1647 eV/atom.



[5]
V2OsRh2 | PBE-GGA | relaxed

The structure belongs to space group P4/mbm (No. 127); the cell edges are 7.1728, 7.1728 and 2.7549 Å and the angles 90.00°, 90.00° and 90.00°. The inequivalent atoms are V at (0.1703, 0.3297, 0.0000), Os at (0.0000, 0.0000, 0.5000) and Rh at (0.1307, 0.6307, 0.5000).

As for the total energy: -8.8952 eV/atom.



[6]
V2OsRh2 | PBE-GGA | relaxed

The structure belongs to space group Cmmm (No. 65); the cell edges are 4.4426, 7.4008 and 4.7704 Å and the angles 90.00°, 90.00° and 90.00°. The inequivalent atoms are V at (0.0000, 0.0000, 0.2442), Os at (0.0000, 0.5000, 0.5000) and Rh at (0.0000, 0.3294, 0.0000).

As for the total energy: -8.4784 eV/atom.



[7]
VOsRh3 | PBE-GGA | relaxed

The structure belongs to space group C2/c (No. 15); the cell edges are 4.6632, 13.5980 and 4.6777 Å and the angles 90.00°, 109.45° and 90.00°. The inequivalent atoms are V at (0.0000, 0.1520, 0.2500), Os at (0.0000, 0.3512, 0.2500), Rh at (0.0000, 0.0552, 0.7500), Rh at (0.0000, 0.2512, 0.7500) and Rh at (0.0000, 0.4464, 0.7500).

As for the total energy: -8.6855 eV/atom.



[8]
VOsRh3 | PBE-GGA | relaxed

The structure belongs to space group Pm-3m (No. 221); the cell edges are 4.4089, 4.4089 and 4.4089 Å and the angles 90.00°, 90.00° and 90.00°. The inequivalent atoms are V at (0.0000, 0.0000, 0.0000), Os at (0.5000, 0.5000, 0.5000) and Rh at (0.0000, 0.0000, 0.5000).

As for the total energy: -7.2184 eV/atom.